# Li5CdSn4 | the Alexandria database | PBE | optimized geometry
# DFT total energy ... -2.948 eV/atom
# Fermi-level density of states ... 0.466 states/eV/atom
# DFT formation energy ... -2.988 eV per formula unit
# Theoretical density ... 5.2 g/cm³
data_Li5CdSn4
_chemical_formula_sum 'Li5 Cd1 Sn4'
_space_group_name_H-M_alt 'P 4/m m m'
_space_group_IT_number 123
_space_group_name_Hall '-P 4 2'
_cell_length_a 3.313
_cell_length_b 3.313
_cell_length_c 18.161
_cell_angle_alpha 90.00
_cell_angle_beta 90.00
_cell_angle_gamma 90.00
loop_
_atom_site_label
_atom_site_fract_x
_atom_site_fract_y
_atom_site_fract_z
_atom_site_occupancy
Li1 0.000 0.000 0.000 1
Li2 0.000 0.000 0.206 1
Li3 0.000 0.000 0.407 1
Cd1 0.500 0.500 0.500 1
Sn1 0.500 0.500 0.100 1
Sn2 0.500 0.500 0.309 1